1.
## Pr2NdAgHg3Au2 (PBE)

Data for crystalline Pr2NdAgHg3Au2 at its relaxed geometry.

Computed properties:
SG: No. 38
Crystal system: orthorhombic

Unit cell a=3.938 b=8.105 c=8.105 alpha=119.94 beta=90.00 gamma=90.00
Sites, in units of the cell vectors:
Pr: 0.000 0.000 0.594
Hg: 0.500 0.000 0.265
Nd: 0.000 0.406 0.406
Hg: 0.500 0.265 0.000
Au: 0.500 0.665 0.334
Au: 0.500 0.334 0.665
Pr: 0.000 0.594 0.000
Ag: 0.000 0.000 0.000
Hg: 0.500 0.735 0.735

=====

2.
## TbNd2AgHg3Au2 (PBE)

Data for crystalline TbNd2AgHg3Au2 at its relaxed geometry.

Computed properties:
SG: No. 38
Crystal system: orthorhombic

Unit cell a=3.870 b=8.029 c=8.029 alpha=119.75 beta=90.00 gamma=90.00
Sites, in units of the cell vectors:
Hg: 0.500 0.999 0.733
Au: 0.500 0.338 0.666
Ag: 0.000 0.998 0.998
Hg: 0.500 0.267 0.267
Nd: 0.000 0.000 0.406
Au: 0.500 0.666 0.338
Hg: 0.500 0.733 0.999
Nd: 0.000 0.406 0.000
Tb: 0.000 0.592 0.592

=====

3.
## TbPr2AgHg3Au2 (PBE)

Data for crystalline TbPr2AgHg3Au2 at its relaxed geometry.

Computed properties:
SG: No. 38
Crystal system: orthorhombic

Unit cell a=3.893 b=8.049 c=8.049 alpha=119.69 beta=90.00 gamma=90.00
Sites, in units of the cell vectors:
Pr: 0.000 0.000 0.406
Tb: 0.000 0.592 0.592
Hg: 0.500 0.735 0.999
Ag: 0.000 0.997 0.997
Hg: 0.500 0.999 0.735
Pr: 0.000 0.406 0.000
Au: 0.500 0.340 0.665
Au: 0.500 0.665 0.340
Hg: 0.500 0.267 0.267

=====

4.
## Tb3AgHg3Au2 (PBE)

Data for crystalline Tb3AgHg3Au2 at its relaxed geometry.

Computed properties:
SG: No. 189
Crystal system: hexagonal

Unit cell a=8.003 b=8.003 c=3.746 alpha=90.00 beta=90.00 gamma=120.00
Sites, in units of the cell vectors:
Hg: 0.000 0.271 0.500
Au: 0.333 0.667 0.500
Ag: 0.000 0.000 0.000
Hg: 0.271 0.000 0.500
Au: 0.667 0.333 0.500
Tb: 0.000 0.599 0.000
Tb: 0.599 0.000 0.000
Hg: 0.729 0.729 0.500
Tb: 0.401 0.401 0.000

=====

Number 1: formation energy from the elements -585 meV per atom. Number 2: formation energy from the elements -585 meV per atom. Number 3: formation energy from the elements -581 meV per atom. Number 4: formation energy from the elements -589 meV per atom.